1.
# YSbSeN2 PBE relaxed
# Offset from the most stable computed form   2.19 eV per formula unit
# E_form (uncorrected)   707.3 meV/atom
data_YSbSeN2
_chemical_formula_sum 'Y1 Sb1 Se1 N2'
_cell_length_a 4.359
_cell_length_b 4.359
_cell_length_c 5.693
_cell_angle_alpha 90.00
_cell_angle_beta 90.00
_cell_angle_gamma 90.00
_symmetry_space_group_name_H-M 'P 4/m m m'
_symmetry_Int_Tables_number 123
_symmetry_space_group_name_Hall '-P 4 2'
loop_
_atom_site_label
_atom_site_type_symbol
_atom_site_fract_x
_atom_site_fract_y
_atom_site_fract_z
Y1 Y 0.000 0.000 0.000
Sb1 Sb 0.500 0.500 0.500
Se1 Se 0.000 0.000 0.500
N1 N 0.000 0.500 0.000

---

2.
# Pm6SiTe12 PBE relaxed
# E_form (uncorrected)   -1045.0 meV/atom
data_Pm6SiTe12
_chemical_formula_sum 'Pm18 Si3 Te36'
_cell_length_a 13.4197
_cell_length_b 13.4197
_cell_length_c 12.6711
_cell_angle_alpha 90.00
_cell_angle_beta 90.00
_cell_angle_gamma 120.00
_symmetry_space_group_name_H-M 'R -3'
_symmetry_Int_Tables_number 148
_symmetry_space_group_name_Hall '-R 3'
loop_
_atom_site_label
_atom_site_type_symbol
_atom_site_fract_x
_atom_site_fract_y
_atom_site_fract_z
Pm1 Pm 0.0510 0.4379 0.3071
Si1 Si 0.0000 0.0000 0.0000
Te1 Te 0.0370 0.2115 0.3954
Te2 Te 0.0691 0.2003 0.8835

---

3.
# K2Na8Tl3 PBE relaxed
# Offset from the most stable computed form   0.00 eV per formula unit
# Energy relative to the elements   -31 meV per atom
data_K2Na8Tl3
_chemical_formula_sum 'K2 Na8 Tl3'
_cell_length_a 8.175
_cell_length_b 4.917
_cell_length_c 12.497
_cell_angle_alpha 90.00
_cell_angle_beta 95.12
_cell_angle_gamma 90.00
_symmetry_space_group_name_H-M 'P 1 2/m 1'
_symmetry_Int_Tables_number 10
_symmetry_space_group_name_Hall '-P 2y'
loop_
_atom_site_label
_atom_site_type_symbol
_atom_site_fract_x
_atom_site_fract_y
_atom_site_fract_z
K1 K 0.230 0.000 0.436
Na1 Na 0.103 0.500 0.167
Na2 Na 0.177 0.000 0.770
Na3 Na 0.397 0.000 0.115
Na4 Na 0.432 0.500 0.679
Tl1 Tl 0.000 0.000 0.000
Tl2 Tl 0.312 0.500 0.933

---

4.
# TbGa3Pt3 PBE relaxed
# Offset from the most stable computed form   0.00 eV per formula unit
# Energy relative to the elements   -811 meV per atom
data_TbGa3Pt3
_chemical_formula_sum 'Tb6 Ga18 Pt18'
_cell_length_a 6.8761
_cell_length_b 6.8761
_cell_length_c 18.5135
_cell_angle_alpha 90.00
_cell_angle_beta 90.00
_cell_angle_gamma 120.00
_symmetry_space_group_name_H-M 'R -3'
_symmetry_Int_Tables_number 148
_symmetry_space_group_name_Hall '-R 3'
loop_
_atom_site_label
_atom_site_type_symbol
_atom_site_fract_x
_atom_site_fract_y
_atom_site_fract_z
Tb1 Tb 0.0000 0.0000 0.1604
Ga1 Ga 0.0257 0.6095 0.3771
Pt1 Pt 0.0092 0.7626 0.5719

---

5.
# TbEr3Co2 PBE relaxed
# Offset from the most stable computed form   0.00 eV per formula unit
# Energy relative to the elements   -171 meV per atom
data_TbEr3Co2
_chemical_formula_sum 'Tb4 Er12 Co8'
_cell_length_a 16.252
_cell_length_b 3.729
_cell_length_c 11.494
_cell_angle_alpha 90.00
_cell_angle_beta 124.00
_cell_angle_gamma 90.00
_symmetry_space_group_name_H-M 'C 1 2/m 1'
_symmetry_Int_Tables_number 12
_symmetry_space_group_name_Hall '-C 2y'
loop_
_atom_site_label
_atom_site_type_symbol
_atom_site_fract_x
_atom_site_fract_y
_atom_site_fract_z
Tb1 Tb 0.158 0.000 0.245
Er1 Er 0.084 0.500 0.443
Er2 Er 0.084 0.500 0.938
Er3 Er 0.159 0.000 0.747
Co1 Co 0.233 0.000 0.048
Co2 Co 0.234 0.000 0.549

---

6.
# Dy3ThTc PBE relaxed
# Offset from the most stable computed form   0.13 eV per formula unit
# Energy relative to the elements   -47 meV per atom
data_Dy3ThTc
_chemical_formula_sum 'Dy12 Th4 Tc4'
_cell_length_a 11.737
_cell_length_b 8.721
_cell_length_c 7.975
_cell_angle_alpha 90.00
_cell_angle_beta 132.78
_cell_angle_gamma 90.00
_symmetry_space_group_name_H-M 'C 1 2/m 1'
_symmetry_Int_Tables_number 12
_symmetry_space_group_name_Hall '-C 2y'
loop_
_atom_site_label
_atom_site_type_symbol
_atom_site_fract_x
_atom_site_fract_y
_atom_site_fract_z
Dy1 Dy 0.048 0.000 0.255
Dy2 Dy 0.248 0.302 0.207
Th1 Th 0.048 0.500 0.335
Tc1 Tc 0.235 0.500 0.853

---

7.
# Ba2NdHg PBE relaxed
# Offset from the most stable computed form   0.91 eV per formula unit
# Energy relative to the elements   120 meV per atom
data_Ba2NdHg
_chemical_formula_sum 'Ba6 Nd3 Hg3'
_cell_length_a 3.9795
_cell_length_b 3.9795
_cell_length_c 38.1385
_cell_angle_alpha 90.00
_cell_angle_beta 90.00
_cell_angle_gamma 120.00
_symmetry_space_group_name_H-M 'R -3 m'
_symmetry_Int_Tables_number 166
_symmetry_space_group_name_Hall '-R 3 2"'
loop_
_atom_site_label
_atom_site_type_symbol
_atom_site_fract_x
_atom_site_fract_y
_atom_site_fract_z
Ba1 Ba 0.0000 0.0000 0.0981
Nd1 Nd 0.0000 0.0000 0.0000
Hg1 Hg 0.0000 0.0000 0.5000

---

8.
# BaMgIn11 PBE relaxed
# Energy relative to the elements   -112 meV per atom
data_BaMgIn11
_chemical_formula_sum 'Ba2 Mg2 In22'
_cell_length_a 6.423
_cell_length_b 15.161
_cell_length_c 8.122
_cell_angle_alpha 90.00
_cell_angle_beta 111.42
_cell_angle_gamma 90.00
_symmetry_space_group_name_H-M 'C 1 2/m 1'
_symmetry_Int_Tables_number 12
_symmetry_space_group_name_Hall '-C 2y'
loop_
_atom_site_label
_atom_site_type_symbol
_atom_site_fract_x
_atom_site_fract_y
_atom_site_fract_z
Ba1 Ba 0.000 0.000 0.000
Mg1 Mg 0.000 0.500 0.500
In1 In 0.000 0.000 0.500
In2 In 0.102 0.393 0.218
In3 In 0.186 0.176 0.360
In4 In 0.250 0.250 0.000

---

9.
# AcPu4Th PBE relaxed
# Energy relative to the elements   243 meV per atom
data_AcPu4Th
_chemical_formula_sum 'Ac4 Pu16 Th4'
_cell_length_a 8.869
_cell_length_b 8.869
_cell_length_c 8.869
_cell_angle_alpha 90.00
_cell_angle_beta 90.00
_cell_angle_gamma 90.00
_symmetry_space_group_name_H-M 'F -4 3 m'
_symmetry_Int_Tables_number 216
_symmetry_space_group_name_Hall 'F -4 2 3'
loop_
_atom_site_label
_atom_site_type_symbol
_atom_site_fract_x
_atom_site_fract_y
_atom_site_fract_z
Ac1 Ac 0.000 0.000 0.000
Pu1 Pu 0.124 0.124 0.624
Th1 Th 0.250 0.250 0.250

---

10.
# Pa5Bi3C PBE relaxed
# Energy relative to the elements   -250 meV per atom
data_Pa5Bi3C
_chemical_formula_sum 'Pa10 Bi6 C2'
_cell_length_a 9.2996
_cell_length_b 9.2996
_cell_length_c 6.0554
_cell_angle_alpha 90.00
_cell_angle_beta 90.00
_cell_angle_gamma 120.00
_symmetry_space_group_name_H-M 'P 63/m c m'
_symmetry_Int_Tables_number 193
_symmetry_space_group_name_Hall '-P 6c 2'
loop_
_atom_site_label
_atom_site_type_symbol
_atom_site_fract_x
_atom_site_fract_y
_atom_site_fract_z
Pa1 Pa 0.0000 0.2143 0.2500
Pa2 Pa 0.3333 0.6667 0.0000
Bi1 Bi 0.0000 0.3959 0.7500
C1 C 0.0000 0.0000 0.0000

---

11.
# NaNiGe2Pt PBE relaxed
# Offset from the most stable computed form   8.41 eV per formula unit
# Energy relative to the elements   1340 meV per atom
data_NaNiGe2Pt
_chemical_formula_sum 'Na1 Ni1 Ge2 Pt1'
_cell_length_a 4.832
_cell_length_b 4.832
_cell_length_c 4.248
_cell_angle_alpha 90.00
_cell_angle_beta 90.00
_cell_angle_gamma 90.00
_symmetry_space_group_name_H-M 'P 4/m m m'
_symmetry_Int_Tables_number 123
_symmetry_space_group_name_Hall '-P 4 2'
loop_
_atom_site_label
_atom_site_type_symbol
_atom_site_fract_x
_atom_site_fract_y
_atom_site_fract_z
Na1 Na 0.000 0.000 0.000
Ni1 Ni 0.000 0.000 0.500
Ge1 Ge 0.000 0.500 0.000
Pt1 Pt 0.500 0.500 0.500

---

12.
# La4Sm PBE relaxed
# Offset from the most stable computed form   0.00 eV per formula unit
# Energy relative to the elements   15 meV per atom
data_La4Sm
_chemical_formula_sum 'La8 Sm2'
_cell_length_a 8.298
_cell_length_b 8.298
_cell_length_c 5.225
_cell_angle_alpha 90.00
_cell_angle_beta 90.00
_cell_angle_gamma 90.00
_symmetry_space_group_name_H-M 'I 4/m'
_symmetry_Int_Tables_number 87
_symmetry_space_group_name_Hall '-I 4'
loop_
_atom_site_label
_atom_site_type_symbol
_atom_site_fract_x
_atom_site_fract_y
_atom_site_fract_z
La1 La 0.100 0.299 0.000
Sm1 Sm 0.000 0.000 0.500

---

| no. | calculated volume (Å³/atom) |
| --- | --- |
| 1 | 21.63 |
| 2 | 34.67 |
| 3 | 38.49 |
| 4 | 18.05 |
| 5 | 24.07 |
| 6 | 29.96 |
| 7 | 43.59 |
| 8 | 28.32 |
| 9 | 29.07 |
| 10 | 25.20 |
| 11 | 19.84 |
| 12 | 35.98 |